No. 1
# CuNiRh

CuNiRh after structural relaxation (PBE-GGA, Alexandria).

abc: 2.588 2.588 7.179
angles: 79.62 79.62 60.00
Last column: magnetic moment on the atom in μB.
Positions (direct):
Cu1 0.250 0.250 0.251  0.08
Rh1 0.021 0.021 0.936  0.67
Ni1 0.136 0.136 0.592  0.84

Properties
Electronic total energy   -5.3695 eV/atom
Volume   13.58 Å³/atom
Formation enthalpy at 0 K   374 meV/atom

No. 2
# Pm4CoRu

Pm4CoRu after structural relaxation (PBE-GGA, Alexandria).

abc: 7.735 7.735 7.735
angles: 106.87 106.87 114.80
Positions (direct):
Ru1 0.998 0.498 0.500
Ru2 0.248 0.248 0.000
Pm1 0.254 0.556 0.302
Pm2 0.254 0.952 0.698
Pm3 0.702 0.504 0.198
Pm4 0.197 0.997 0.201
Pm5 0.747 0.447 0.701
Pm6 0.747 0.046 0.299
Pm7 0.306 0.504 0.802
Pm8 0.796 0.997 0.799
Co1 0.502 0.002 0.500
Co2 0.752 0.752 0.000

Properties
Electronic total energy   -5.9861 eV/atom
Volume   29.50 Å³/atom
Formation enthalpy at 0 K   -89 meV/atom

No. 3
# Zr2AgSb

Zr2AgSb after structural relaxation (PBE-GGA, Alexandria).

abc: 5.272 5.272 5.272
angles: 129.75 129.70 73.85
Positions (direct):
Zr1 0.000 0.000 0.000
Zr2 0.500 0.500 0.000
Sb1 0.250 0.750 0.500
Ag1 0.750 0.250 0.500

Properties
Formation energy from raw total energies   -1.4 eV/f.u.
Electronic total energy   -6.3609 eV/atom
Volume   21.14 Å³/atom

No. 4
# ScPbI2N

ScPbI2N after structural relaxation (PBE-GGA, Alexandria).

abc: 6.044 6.044 3.945
angles: 90.00 90.00 90.00
Last column: magnetic moment on the atom in μB.
Positions (direct):
I1 0.000 0.500 0.000  0.00
I2 0.500 0.000 0.000  0.00
Pb1 0.500 0.500 0.500  0.00
N1 0.000 0.000 0.500  0.14
Sc1 0.000 0.000 0.000  0.02

Properties
Formation energy from raw total energies   -1.3 eV/f.u.
Electronic total energy   -4.5481 eV/atom
Volume   28.83 Å³/atom

No. 5
# Pm2HgAu2

Pm2HgAu2 after structural relaxation (PBE-GGA, Alexandria).

abc: 3.840 8.105 8.105
angles: 90.00 90.00 90.00
Positions (direct):
Au1 0.000 0.627 0.127
Au2 0.000 0.873 0.627
Au3 0.000 0.373 0.873
Au4 0.000 0.127 0.373
Pm1 0.500 0.828 0.328
Pm2 0.500 0.172 0.672
Pm3 0.500 0.672 0.828
Pm4 0.500 0.328 0.172
Hg1 0.000 0.000 0.000
Hg2 0.000 0.500 0.500

Properties
Electronic total energy   -4.0009 eV/atom
Volume   25.23 Å³/atom
Formation enthalpy at 0 K   -729 meV/atom

No. 6
# GdPaPd2

GdPaPd2 after structural relaxation (PBE-GGA, Alexandria).

abc: 3.914 3.914 7.658
angles: 75.19 75.19 60.00
Last column: magnetic moment on the atom in μB.
Positions (direct):
Pd1 0.256 0.256 0.231  -0.01
Pd2 0.744 0.744 0.769  -0.01
Gd1 0.500 0.500 0.500  6.99
Pa1 0.000 0.000 0.000  -0.19

Properties
Electronic total energy   -9.0072 eV/atom
Volume   24.27 Å³/atom
Formation enthalpy at 0 K   -517 meV/atom

No. 7
# LiCd2HN

LiCd2HN after structural relaxation (PBE-GGA, Alexandria).

abc: 4.919 3.070 4.919
angles: 90.00 90.00 90.00
Last column: magnetic moment on the atom in μB.
Positions (direct):
N1 0.500 0.500 0.500  0.53
Li1 0.000 0.000 0.000  0.01
Cd1 0.500 0.000 0.000  0.04
Cd2 0.000 0.000 0.500  -0.01
H1 0.000 0.500 0.000  -0.01

Properties
Electronic total energy   -2.0517 eV/atom
Volume   14.86 Å³/atom

No. 8
# Tb2Y3Sb2

Tb2Y3Sb2 after structural relaxation (PBE-GGA, Alexandria).

abc: 4.251 6.464 8.512
angles: 107.99 90.00 109.20
Positions (direct):
Tb1 0.865 0.730 0.211
Tb2 0.135 0.270 0.789
Y1 0.625 0.250 0.447
Y2 0.375 0.750 0.553
Y3 0.500 0.000 0.000
Sb1 0.173 0.347 0.196
Sb2 0.827 0.653 0.804

Properties
Formation energy from raw total energies   -4.6 eV/f.u.
Electronic total energy   -5.9309 eV/atom
Volume   29.82 Å³/atom

No. 9
# ZrZnIr

ZrZnIr after structural relaxation (PBE-GGA, Alexandria).

abc: 4.267 5.125 5.259
angles: 90.00 90.00 114.60
Positions (direct):
Zn1 0.500 0.000 0.500
Zn2 0.500 0.000 0.000
Zr1 0.786 0.572 0.250
Zr2 0.214 0.428 0.750
Ir1 0.899 0.798 0.750
Ir2 0.101 0.202 0.250

Properties
Electronic total energy   -6.9351 eV/atom
Volume   17.43 Å³/atom
Formation enthalpy at 0 K   -707 meV/atom

No. 10
# La3HoBi4

La3HoBi4 after structural relaxation (PBE-GGA, Alexandria).

abc: 8.052 8.041 9.306
angles: 90.00 90.00 109.51
Positions (direct):
Bi1 0.500 0.760 0.120
Bi2 0.995 0.246 0.630
Bi3 0.495 0.246 0.370
Bi4 0.505 0.754 0.630
Bi5 0.000 0.760 0.880
Bi6 0.005 0.754 0.370
Bi7 0.000 0.240 0.120
Bi8 0.500 0.240 0.880
La1 0.750 0.500 0.627
La2 0.750 0.500 0.124
La3 0.750 0.000 0.374
La4 0.250 0.500 0.876
La5 0.250 0.500 0.373
La6 0.250 0.000 0.626
Ho1 0.750 0.000 0.876
Ho2 0.250 0.000 0.124

Properties
Electronic total energy   -5.3534 eV/atom
Volume   35.50 Å³/atom
Formation enthalpy at 0 K   -993 meV/atom

No. 11
# FeAs2IrSe

FeAs2IrSe after structural relaxation (PBE-GGA, Alexandria).

abc: 4.417 4.417 4.630
angles: 90.00 90.00 90.00
Last column: magnetic moment on the atom in μB.
Positions (direct):
As1 0.000 0.500 0.000  0.00
As2 0.500 0.000 0.000  0.00
Fe1 0.000 0.000 0.000  0.37
Se1 0.000 0.000 0.500  0.02
Ir1 0.500 0.500 0.500  -0.01

Properties
Formation energy from raw total energies   3.9 eV/f.u.
Electronic total energy   -5.2400 eV/atom
Volume   18.06 Å³/atom

No. 12
# RbAg3O3

RbAg3O3 after structural relaxation (PBE-GGA, Alexandria).

abc: 6.216 6.216 8.572
angles: 68.74 68.74 60.00
Last column: magnetic moment on the atom in μB.
Positions (direct):
Rb1 0.333 0.333 0.001  0.00
Rb2 0.667 0.667 0.999  0.00
Ag1 0.626 0.154 0.334  0.10
Ag2 0.886 0.626 0.334  0.10
Ag3 0.114 0.374 0.666  0.10
Ag4 0.846 0.114 0.666  0.10
Ag5 0.154 0.886 0.334  0.10
Ag6 0.374 0.846 0.666  0.10
O1 0.518 0.906 0.290  0.13
O2 0.714 0.482 0.710  0.13
O3 0.094 0.714 0.710  0.13
O4 0.286 0.518 0.290  0.13
O5 0.482 0.094 0.710  0.13
O6 0.906 0.286 0.290  0.13

Properties
Formation energy from raw total energies   -1.7 eV/f.u.
Electronic total energy   -3.7246 eV/atom
Volume   18.61 Å³/atom